# K2CuIr PBE-GGA relaxed
data_K2CuIr
_symmetry_space_group_name_H-M 'P 4/m m m'
_symmetry_Int_Tables_number 123
_symmetry_space_group_name_Hall '-P 4 2'
_cell_length_a 4.0802
_cell_length_b 4.0802
_cell_length_c 5.1847
_cell_angle_alpha 90.00
_cell_angle_beta 90.00
_cell_angle_gamma 90.00
loop_
_atom_site_label
_atom_site_type_symbol
_atom_site_fract_x
_atom_site_fract_y
_atom_site_fract_z
_atom_site_occupancy
K1 K 0.0000 0.5000 0.0000 1
Cu1 Cu 0.0000 0.0000 0.5000 1
Ir1 Ir 0.5000 0.5000 0.5000 1
# Total moment, μB/cell: 0.00
# Calculated volume, Å³ per cell: 86
# Polymorph energy (0 for the lowest one), meV/atom: 426

***

# KCuNiIr2 PBE-GGA relaxed
data_KCuNiIr2
_symmetry_space_group_name_H-M 'P 4/m m m'
_symmetry_Int_Tables_number 123
_symmetry_space_group_name_Hall '-P 4 2'
_cell_length_a 4.5261
_cell_length_b 4.5261
_cell_length_c 5.2331
_cell_angle_alpha 90.00
_cell_angle_beta 90.00
_cell_angle_gamma 90.00
loop_
_atom_site_label
_atom_site_type_symbol
_atom_site_fract_x
_atom_site_fract_y
_atom_site_fract_z
_atom_site_occupancy
K1 K 0.0000 0.0000 0.0000 1
Cu1 Cu 0.5000 0.5000 0.0000 1
Ni1 Ni 0.0000 0.0000 0.5000 1
Ir1 Ir 0.0000 0.5000 0.5000 1
# Raw total energy, eV/cell: -21.4
# Total moment, μB/cell: 2.15
# Calculated volume, Å³ per cell: 107

***

# KCuIrO6 PBE-GGA relaxed
data_KCuIrO6
_symmetry_space_group_name_H-M 'C 1 2 1'
_symmetry_Int_Tables_number 5
_cell_length_a 5.4843
_cell_length_b 8.7774
_cell_length_c 5.8538
_cell_angle_alpha 90.00
_cell_angle_beta 93.52
_cell_angle_gamma 90.00
loop_
_symmetry_equiv_pos_as_xyz
'x,y,z'
'-x,y,-z'
'x+1/2,y+1/2,z'
'-x+1/2,y+1/2,-z'
loop_
_atom_site_label
_atom_site_type_symbol
_atom_site_fract_x
_atom_site_fract_y
_atom_site_fract_z
_atom_site_occupancy
K1 K 0.0000 0.0000 0.0000 1
Cu1 Cu 0.0000 0.6917 0.5000 1
Ir1 Ir 0.0000 0.3526 0.5000 1
O1 O 0.1047 0.5326 0.6821 1
O2 O 0.1554 0.2415 0.7216 1
O3 O 0.1936 0.8428 0.6509 1
# Raw total energy, eV/cell: -98.9
# Total moment, μB/cell: 1.96
# Calculated volume, Å³ per cell: 281

***

# K2CuIrO4 PBE-GGA relaxed
data_K2CuIrO4
_symmetry_space_group_name_H-M 'I -4'
_symmetry_Int_Tables_number 82
_cell_length_a 6.1106
_cell_length_b 6.1106
_cell_length_c 6.8465
_cell_angle_alpha 90.00
_cell_angle_beta 90.00
_cell_angle_gamma 90.00
loop_
_symmetry_equiv_pos_as_xyz
'x,y,z'
'y,-x,-z'
'-x,-y,z'
'-y,x,-z'
'x+1/2,y+1/2,z+1/2'
'y+1/2,-x+1/2,-z+1/2'
'-x+1/2,-y+1/2,z+1/2'
'-y+1/2,x+1/2,-z+1/2'
loop_
_atom_site_label
_atom_site_type_symbol
_atom_site_fract_x
_atom_site_fract_y
_atom_site_fract_z
_atom_site_occupancy
K1 K 0.0000 0.0000 0.0000 1
K2 K 0.0000 0.5000 0.2500 1
Cu1 Cu 0.0000 0.5000 0.7500 1
Ir1 Ir 0.0000 0.0000 0.5000 1
O1 O 0.1262 0.7244 0.5663 1
# Raw total energy, eV/cell: -84.6
# Total moment, μB/cell: 4.02
# Calculated volume, Å³ per cell: 256